# Li2Ni2Sn

Crystalline Li2Ni2Sn at its relaxed geometry (PBE-GGA, Alexandria via LeMat-Bulk).

Results
As for the density of states at the Fermi level: 0.80 states/eV per atom. As for the total magnetic moment: 0.00 μB per formula unit. The formation energy is -79 meV per atom.

Cell lengths 6.420, 6.420, 3.681 Å; angles 90.00, 90.00, 90.00 degrees
Space group P4/mbm (No. 127)
Asymmetric unit:
Li: 0.163 0.337 0.000 (multiplicity 4)
Ni: 0.130 0.630 0.500 (multiplicity 4)
Sn: 0.000 0.000 0.500 (multiplicity 2)



# LiNi4Sn4

Crystalline LiNi4Sn4 at its relaxed geometry (PBE-GGA, Alexandria via LeMat-Bulk).

Results
As for the density of states at the Fermi level: 0.65 states/eV per atom. As for the total magnetic moment: 0.00 μB per formula unit. The formation energy is -47 meV per atom.

Cell lengths 8.498, 8.498, 5.131 Å; angles 90.00, 90.00, 90.00 degrees
Space group P4_2/n (No. 86, origin choice 2)
Asymmetric unit:
Li: 0.250 0.250 0.250 (multiplicity 2)
Ni: 0.072 0.586 0.651 (multiplicity 8)
Sn: 0.111 0.622 0.152 (multiplicity 8)



> Number 2 is which compound?

LiNi4Sn4